# Y3Br, relaxed, DFT GGA-PBE
data_Y3Br
_chemical_formula_sum 'Y3 Br1'
_space_group_name_H-M_alt 'P 1'
_space_group_IT_number 1
_cell_length_a 3.530
_cell_length_b 3.530
_cell_length_c 9.549
_cell_angle_alpha 90.00
_cell_angle_beta 90.00
_cell_angle_gamma 90.00
loop_
_space_group_symop_operation_xyz
'x,y,z'
loop_
_atom_site_label
_atom_site_type_symbol
_atom_site_fract_x
_atom_site_fract_y
_atom_site_fract_z
_atom_site_occupancy
Y1 Y 0.500 0.500 0.238 1
Y2 Y 0.500 0.500 0.762 1
Br1 Br 0.000 0.000 0.000 1
Y3 Y 0.000 0.000 0.500 1
# magnetic moment = 0.0000 μB per atom
# V = 119 Å³/cell
# energy above the most stable polymorph in this dataset = 51 kJ/mol of formula units
# formation energy without anion corrections = -9.8 kcal/mol of atoms
# total energy = -5.69 eV/atom
# space group = P4/mmm (123)